Density functional theory data (PBE) for a relaxed structure of LiY2HgO.

a b c (Å): 4.870 4.870 4.053
angles (deg): 90.00 90.00 90.00
Fractional coordinates of all 5 atoms:
1 Y 0.000 0.500 0.000
2 O 0.000 0.000 0.000
3 Hg 0.500 0.500 0.500
4 Y 0.500 0.000 0.000
5 Li 0.000 0.000 0.500

Results
Formation energy from raw total energies = -1.384 eV per atom
N(E_F) = 4.2 states/eV per cell
Volume = 96 Å³ per cell